No. 1
A geometry-optimized LaTb4Ce3P8 structure, computed with PBE-GGA.

abc: 8.1671 8.1671 19.9560
angles: 90.00 90.00 120.00
Space group R-3m (No. 166, hexagonal axes)
Unique sites:
La  0.0000  0.0000  0.0000
Tb  0.0000  0.0000  0.5000
Tb  0.0000  0.5000  0.5000
Ce  0.0000  0.5000  0.0000
P  0.0000  0.0000  0.2493
P  0.0056  0.5028  0.2484

Results
**DFT formation energy**: -1.56 eV/atom

***

No. 2
A geometry-optimized TaTlNiHg2 structure, computed with PBE-GGA.

abc: 4.833 4.833 4.811
angles: 90.00 90.00 90.00
Space group P4/mmm (No. 123)
Unique sites:
Ta  0.000  0.000  0.000
Tl  0.500  0.500  0.000
Ni  0.500  0.500  0.500
Hg  0.000  0.500  0.500

Results
**DFT formation energy**: 1.04 eV/atom